[1]
# AcSm5Er4

A relaxed structure of AcSm5Er4 (GGA-PBE, the Alexandria database).

Cell and atoms, written as POSCAR:
```
AcSm5Er4
1.0
4.120 0.000 0.000
0.000 4.120 0.000
0.000 0.000 19.952
Er Sm Ac
4 5 1
direct
0.000 0.000 0.405
0.000 0.000 0.595
0.000 0.000 0.783
0.000 0.000 0.217
0.500 0.500 0.689
0.500 0.500 0.123
0.500 0.500 0.877
0.500 0.500 0.311
0.500 0.500 0.500
0.000 0.000 0.000
```

Results
- Theoretical density: 8.08 g cm⁻³
- SG: P4/mmm, No. 123
- Energy: -4.4855 eV/atom
- Density of states at the Fermi level: 1.970 states/eV per atom
- Energy of formation from the pure elements: 0.11 eV per atom
- Magnetization: 0.00 Bohr magnetons per cell

***

[2]
# TbThGeSe

A relaxed structure of TbThGeSe (GGA-PBE, the Alexandria database).

Cell and atoms, written as POSCAR:
```
TbThGeSe
1.0
-3.192 2.776 0.180
-2.698 0.337 -3.246
-5.943 -3.720 1.791
Ge Tb Th Se
1 1 1 1
direct
0.442 0.442 0.674
0.698 0.698 0.907
0.190 0.190 0.430
0.947 0.947 0.160
```

Results
- Theoretical density: 8.52 g cm⁻³
- SG: R3m, No. 160
- Energy: -6.3471 eV/atom
- Density of states at the Fermi level: 0.490 states/eV per atom
- Formation energy from raw total energies: -1309 meV per atom
- Magnetization: 0.00 Bohr magnetons per cell

***

[3]
# In4Hg5Pb2

A relaxed structure of In4Hg5Pb2 (GGA-PBE, the Alexandria database).

Cell and atoms, written as POSCAR:
```
In4Hg5Pb2
1.0
5.988 0.000 0.000
2.994 6.948 -0.326
2.994 1.226 7.362
Hg In Pb
5 4 2
direct
0.243 0.843 0.164
0.757 0.157 0.836
0.000 0.500 0.500
0.250 0.157 0.836
0.750 0.843 0.164
0.240 0.435 0.086
0.244 0.080 0.432
0.760 0.565 0.914
0.756 0.920 0.568
0.343 0.650 0.664
0.657 0.350 0.336
```

Results
- Theoretical density: 10.10 g cm⁻³
- Offset from the most stable computed form: 0.0 meV/atom
- SG: C2/m, No. 12
- Energy: -1.7613 eV/atom
- Density of states at the Fermi level: 0.432 states/eV per atom
- Energy of formation from the pure elements: 0.05 eV per atom
- Magnetization: 0.00 Bohr magnetons per cell

***

[4]
# SnSe3Br

A relaxed structure of SnSe3Br (GGA-PBE, the Alexandria database).

Cell and atoms, written as POSCAR:
```
SnSe3Br
1.0
-1.908 -4.549 1.658
1.686 1.047 4.811
-4.539 2.301 1.090
Se Br Sn
3 1 1
direct
0.000 0.000 0.500
0.000 0.500 0.000
0.500 0.000 0.000
0.000 0.000 0.000
0.500 0.500 0.500
```

Results
- Theoretical density: 5.13 g cm⁻³
- Offset from the most stable computed form: 52.4 meV/atom
- SG: Pm-3m, No. 221
- Energy: -2.6616 eV/atom
- Density of states at the Fermi level: 0.619 states/eV per atom
- Formation energy from raw total energies: 564 meV per atom
- Magnetization: 0.00 Bohr magnetons per cell